First-principles (PBE-GGA) data for a geometry-optimized CdMo2CS structure, as listed in the Alexandria database.

CIF file:
```
data_CdMo2CS
_chemical_formula_sum 'Cd1 Mo2 C1 S1'
_space_group_name_H-M_alt 'P 4/m m m'
_space_group_IT_number 123
_space_group_name_Hall '-P 4 2'
_cell_length_a 4.401
_cell_length_b 4.401
_cell_length_c 4.909
_cell_angle_alpha 90.00
_cell_angle_beta 90.00
_cell_angle_gamma 90.00
loop_
_atom_site_label
_atom_site_fract_x
_atom_site_fract_y
_atom_site_fract_z
_atom_site_occupancy
Cd1 0.000 0.000 0.000 1
Mo1 0.000 0.500 0.500 1
C1 0.500 0.500 0.000 1
S1 0.000 0.000 0.500 1
```

The calculated density comes out at 6083 kg/m³. The calculation puts the total magnetic moment at 0.000 μB/atom. The calculation puts the raw formation energy at 1.965 eV per atom.